Entry 1:
# Mn2TcMo GGA-PBEsol optimized geometry
# E_form (kJ per mole of atoms): 18
# Crystal system: cubic
# DFT total energy (eV for the cell shown): -167.3
# E above lowest polymorph (kcal/mol of atoms): 0.00
# Calculated density (g/cm3): 9.8
data_Mn2TcMo
_symmetry_space_group_name_H-M 'F m -3 m'
_symmetry_Int_Tables_number 225
_symmetry_space_group_name_Hall '-F 4 2 3'
_cell_length_a 5.915
_cell_length_b 5.915
_cell_length_c 5.915
_cell_angle_alpha 90.00
_cell_angle_beta 90.00
_cell_angle_gamma 90.00
loop_
_atom_site_label
_atom_site_type_symbol
_atom_site_fract_x
_atom_site_fract_y
_atom_site_fract_z
Mn1 Mn 0.250 0.250 0.250
Tc1 Tc 0.000 0.000 0.000
Mo1 Mo 0.000 0.000 0.500

=====

Entry 2:
# Mn2TcMo GGA-PBEsol optimized geometry
# E_form (kJ per mole of atoms): 18
# Crystal system: orthorhombic
# DFT total energy (eV for the cell shown): -41.8
# E above lowest polymorph (kcal/mol of atoms): 0.14
# Calculated density (g/cm3): 9.8
data_Mn2TcMo
_symmetry_space_group_name_H-M 'P m m m'
_symmetry_Int_Tables_number 47
_cell_length_a 2.821
_cell_length_b 3.225
_cell_length_c 5.635
_cell_angle_alpha 90.00
_cell_angle_beta 90.00
_cell_angle_gamma 90.00
loop_
_symmetry_equiv_pos_as_xyz
'x,y,z'
'-x,-y,-z'
'-x,-y,z'
'x,y,-z'
'x,-y,-z'
'-x,y,z'
'-x,y,-z'
'x,-y,z'
loop_
_atom_site_label
_atom_site_type_symbol
_atom_site_fract_x
_atom_site_fract_y
_atom_site_fract_z
Mn1 Mn 0.000 0.000 0.248
Tc1 Tc 0.500 0.500 0.000
Mo1 Mo 0.500 0.500 0.500

=====

Entry 3:
# MnTc2Mo GGA-PBEsol optimized geometry
# E_form (kJ per mole of atoms): 17
# Crystal system: orthorhombic
# DFT total energy (eV for the cell shown): -86.7
# Calculated density (g/cm3): 10.4
data_MnTc2Mo
_symmetry_space_group_name_H-M 'I m m m'
_symmetry_Int_Tables_number 71
_symmetry_space_group_name_Hall '-I 2 2'
_cell_length_a 3.076
_cell_length_b 4.279
_cell_length_c 8.408
_cell_angle_alpha 90.00
_cell_angle_beta 90.00
_cell_angle_gamma 90.00
loop_
_atom_site_label
_atom_site_type_symbol
_atom_site_fract_x
_atom_site_fract_y
_atom_site_fract_z
Mn1 Mn 0.000 0.000 0.000
Tc1 Tc 0.000 0.500 0.249
Mo1 Mo 0.000 0.000 0.500